A plane-wave DFT calculation with SCAN was carried out for a crystal of BeNi2W relaxed with PBEsol.

Cell lengths 2.6770, 2.6770, 6.1001 Å; angles 90.00, 90.00, 90.00 degrees
Closest atoms and distances in Å follow each position.
Sites, in units of the cell vectors:
Be1 0.0000 0.0000 0.0000  4 Ni 2.19
Ni1 0.0000 0.0000 0.4345  8 Ni 2.45-2.68, 4 W 2.58, 1 Be 2.65
Ni2 0.5000 0.5000 0.1804  4 Be 2.19, 4 Ni 2.45
W1 0.5000 0.5000 0.7230  4 Be 2.54, 5 Ni 2.58-2.79, 4 W 2.68

* Fermi-level density of states: 3.16 states/eV per cell
* energy of formation: -0.068 eV/atom
* space-group type: P4mm



A plane-wave DFT calculation with SCAN was carried out for a crystal of DyAl3Ni2 relaxed with PBEsol.

Cell lengths 5.2029, 5.2029, 3.9465 Å; angles 90.00, 90.00, 120.00 degrees
Closest atoms and distances in Å follow each position.
Sites, in units of the cell vectors:
Dy1 0.0000 0.0000 0.0000  6 Ni 3.00, 12 Al 3.27
Al1 0.0000 0.5000 0.5000  4 Ni 2.48, 4 Al 2.60
Al2 0.5000 0.0000 0.5000  4 Ni 2.48, 4 Al 2.60
Al3 0.5000 0.5000 0.5000  4 Ni 2.48, 4 Al 2.60
Ni1 0.3333 0.6667 0.0000  6 Al 2.48
Ni2 0.6667 0.3333 0.0000  6 Al 2.48

* Fermi-level density of states: 3.24 states/eV per cell
* energy of formation: -0.688 eV/atom
* space-group type: P6/mmm



Number 1: density 11.784 Mg/m³. Number 2: density 6.476 Mg/m³.